Below is a geometry-optimized Ti3MoW structure, with properties calculated at the PBE level. Values from VASP.

Summary:
Total moment in μB/cell: 0.03
Energy above the most stable polymorph in this dataset in eV per atom: 1.202
Formation energy from the elements in eV/atom: 1.21
Theoretical density in g/cm³: 7.25

The structure in Quantum ESPRESSO input format:
```
&SYSTEM
  ibrav = 0, nat = 5, ntyp = 3
/
ATOMIC_SPECIES
Mo 95.94 Mo.upf
W 183.84 W.upf
Ti 47.87 Ti.upf
ATOMIC_POSITIONS crystal
Mo 0.000 0.000 0.000
W 0.500 0.500 0.500
Ti 0.000 0.500 0.000
Ti 0.000 0.000 0.500
Ti 0.500 0.000 0.000
CELL_PARAMETERS angstrom
4.594 0.000 0.000
0.000 4.594 0.000
0.000 0.000 4.594
```

Below is a geometry-optimized Rb2ZnAgC structure, with properties calculated at the PBE level. Values from VASP.

Summary:
Total moment in μB/cell: 2.59
Formation energy from the elements in eV/atom: 1.25
Theoretical density in g/cm³: 2.76

The structure in Quantum ESPRESSO input format:
```
&SYSTEM
  ibrav = 0, nat = 5, ntyp = 4
/
ATOMIC_SPECIES
C 12.01 C.upf
Zn 65.41 Zn.upf
Rb 85.47 Rb.upf
Ag 107.87 Ag.upf
ATOMIC_POSITIONS crystal
C 0.500 0.500 0.500
Zn 0.000 0.000 0.000
Rb 0.000 0.000 0.500
Rb 0.500 0.000 0.000
Ag 0.000 0.500 0.000
CELL_PARAMETERS angstrom
-1.846 -2.857 5.628
-1.309 -4.070 -2.496
6.067 -2.419 0.762
```